Entry 1:
A plane-wave DFT calculation with PBE was carried out for an optimized crystal structure of Ce2NdEr.

The space group is R3m (No. 160, hexagonal axes) and the conventional cell measures 3.5102, 3.5102 and 34.8223 Å, with angles of 90.00, 90.00 and 120.00 degrees. The asymmetric unit holds Ce at (0.0000, 0.0000, 0.0000), Ce at (0.0000, 0.0000, 0.1624), Nd at (0.0000, 0.0000, 0.5830) and Er at (0.0000, 0.0000, 0.4141).

The density of states at the Fermi level comes out at 31.682 states/eV/cell. Its excess energy over the best structure of this formula in the dataset is 0 meV per atom. For the formation enthalpy at 0 K, the calculation gives 101 meV per atom.



Entry 2:
A plane-wave DFT calculation with PBE was carried out for an optimized crystal structure of Ce2NdErP4.

The space group is P2/m (No. 10) and the conventional cell measures 7.054, 4.080 and 7.068 Å, with angles of 90.00, 109.50 and 90.00 degrees. The asymmetric unit holds Ce at (0.000, 0.000, 0.000), Ce at (0.000, 0.500, 0.500), Nd at (0.500, 0.000, 0.500), Er at (0.500, 0.500, 0.000), P at (0.247, 0.500, 0.243) and P at (0.251, 0.000, 0.757).

The density of states at the Fermi level comes out at 9.323 states/eV/cell. For the formation enthalpy at 0 K, the calculation gives -1534 meV per atom.



Entry 3:
A plane-wave DFT calculation with PBE was carried out for an optimized crystal structure of CeNd3Er2P6.

The space group is C2/m (No. 12) and the conventional cell measures 7.069, 12.242 and 7.085 Å, with angles of 90.00, 109.43 and 90.00 degrees. The asymmetric unit holds Ce at (0.000, 0.000, 0.000), Nd at (0.000, 0.167, 0.500), Nd at (0.000, 0.500, 0.500), Er at (0.000, 0.333, 0.000), P at (0.245, 0.500, 0.238) and P at (0.247, 0.167, 0.239).

The density of states at the Fermi level comes out at 10.096 states/eV/cell. For the formation enthalpy at 0 K, the calculation gives -1557 meV per atom.